A plane-wave DFT calculation with PBE-GGA was carried out for an optimized crystal structure of YZnAgSn.

Computed properties:
Its formation enthalpy at 0 K is -29.20 kJ/mol of atoms. Its density is 7.332 Mg/m³.

abc: 4.9595 4.9595 4.9595
angles: 60.00 60.00 60.00
Element x y z (fractional)
Y  0.0000  0.0000  0.0000
Zn  0.2500  0.2500  0.2500
Ag  0.7500  0.7500  0.7500
Sn  0.5000  0.5000  0.5000

---

A plane-wave DFT calculation with PBE-GGA was carried out for an optimized crystal structure of BaCa3Au3.

Computed properties:
Its formation enthalpy at 0 K is -39.36 kJ/mol of atoms. Its density is 5.238 Mg/m³.

abc: 8.1330 8.1330 8.1330
angles: 90.00 90.00 90.00
Element x y z (fractional)
Ba  0.0000  0.0000  0.0000
Ba  0.5000  0.5000  0.5000
Ca  0.0000  0.2500  0.5000
Ca  0.0000  0.7500  0.5000
Ca  0.2500  0.5000  0.0000
Ca  0.5000  0.0000  0.2500
Ca  0.5000  0.0000  0.7500
Ca  0.7500  0.5000  0.0000
Au  0.0000  0.5000  0.2500
Au  0.0000  0.5000  0.7500
Au  0.2500  0.0000  0.5000
Au  0.5000  0.2500  0.0000
Au  0.5000  0.7500  0.0000
Au  0.7500  0.0000  0.5000

---

A plane-wave DFT calculation with PBE-GGA was carried out for an optimized crystal structure of Mg2MoP2.

Computed properties:
Its formation enthalpy at 0 K is -40.90 kJ/mol of atoms. Its density is 4.347 Mg/m³.

abc: 6.3522 6.3522 3.9096
angles: 90.00 90.00 90.00
Element x y z (fractional)
Mg  0.1771  0.3229  0.0000
Mg  0.3229  0.8229  0.0000
Mg  0.6771  0.1771  0.0000
Mg  0.8229  0.6771  0.0000
Mo  0.0000  0.0000  0.5000
Mo  0.5000  0.5000  0.5000
P  0.1321  0.6321  0.5000
P  0.3679  0.1321  0.5000
P  0.6321  0.8679  0.5000
P  0.8679  0.3679  0.5000

---

A plane-wave DFT calculation with PBE-GGA was carried out for an optimized crystal structure of Eu2TlAg.

Computed properties:
As for the relative energy among the computed polymorphs: 0.00 eV per formula unit. Its formation enthalpy at 0 K is -33.66 kJ/mol of atoms. Its density is 8.646 Mg/m³.

abc: 5.5189 5.5189 3.8856
angles: 90.00 90.00 90.00
Element x y z (fractional)
Eu  0.0000  0.5000  0.0000
Eu  0.5000  0.0000  0.0000
Tl  0.0000  0.0000  0.5000
Ag  0.5000  0.5000  0.5000

---

A plane-wave DFT calculation with PBE-GGA was carried out for an optimized crystal structure of Pm2Pr2Th.

Computed properties:
As for the relative energy among the computed polymorphs: 0.00 eV per formula unit. Its formation enthalpy at 0 K is 2.13 kJ/mol of atoms. Its density is 7.700 Mg/m³.

abc: 15.0966 15.0966 15.0966
angles: 13.92 13.92 13.92
Element x y z (fractional)
Pm  0.1030  0.1030  0.1030
Pm  0.8970  0.8970  0.8970
Pr  0.2998  0.2998  0.2998
Pr  0.7002  0.7002  0.7002
Th  0.5000  0.5000  0.5000

---

A plane-wave DFT calculation with PBE-GGA was carried out for an optimized crystal structure of Zr2NiAu2.

Computed properties:
Its formation enthalpy at 0 K is -25.34 kJ/mol of atoms. Its density is 10.840 Mg/m³.

abc: 7.1719 7.1719 3.7826
angles: 90.00 90.00 90.00
Element x y z (fractional)
Zr  0.1714  0.3286  0.0000
Zr  0.3286  0.8286  0.0000
Zr  0.6714  0.1714  0.0000
Zr  0.8286  0.6714  0.0000
Ni  0.0000  0.0000  0.5000
Ni  0.5000  0.5000  0.5000
Au  0.1360  0.6360  0.5000
Au  0.3640  0.1360  0.5000
Au  0.6360  0.8640  0.5000
Au  0.8640  0.3640  0.5000

---

Respective D(E_F) values: 0.495; 0.789; 0.082; 3.880; 1.459; 0.785 states/eV per atom.